First-principles (PBE) data for a relaxed KNd3Sm2Te6 crystal, as listed in Alexandria via LeMat-Bulk.

Calculated values
**Density of states at the Fermi level**: 5.00 states/eV/f.u.
**E_form (uncorrected)**: -16.66 eV/f.u.
**Volume**: 395.48 Å³/cell
**Space group**: No. 12

a b c (Å): 4.4906 9.1664 10.1333
angles (deg): 103.17 102.80 90.00
With the nearest neighbours (Å) after each atom.
Positions (direct):
Te (0.6667, 0.5809, 0.3335)  3 Sm 3.14-3.17, 3 Nd 3.16-3.20
Te (0.3272, 0.9121, 0.6543)  3 Nd 3.20-3.29, 2 Sm 3.26, 1 K 3.32
Te (0.0045, 0.2609, 0.0089)  1 Sm 3.15, 3 Nd 3.15-3.18, 2 K 3.27
Te (0.6728, 0.0879, 0.3457)  3 Nd 3.20-3.29, 2 Sm 3.26, 1 K 3.32
Te (0.3333, 0.4191, 0.6665)  3 Sm 3.14-3.17, 3 Nd 3.16-3.20
Te (0.9955, 0.7391, 0.9911)  1 Sm 3.15, 3 Nd 3.15-3.18, 2 K 3.27
K (0.5000, 0.0000, 0.0000)  6 Te 3.27-3.32
Nd (0.5000, 0.5000, 0.0000)  6 Te 3.15-3.20
Nd (0.1609, 0.8208, 0.3217)  6 Te 3.16-3.29
Nd (0.8391, 0.1792, 0.6783)  6 Te 3.16-3.29
Sm (0.8315, 0.6573, 0.6630)  6 Te 3.14-3.26
Sm (0.1685, 0.3427, 0.3370)  6 Te 3.14-3.26